Record 1
The following is a DFT calculation (PBE) of a geometry-optimized Y2UTc2 structure.

a = 5.7804 Å, b = 5.7804 Å, c = 7.9008 Å
α = 81.30°, β = 81.30°, γ = 61.78°
Closest atoms and distances in Å follow each position.
Element x y z (fractional)
Tc  0.7507  0.4987  0.4883  2 U 2.43-2.66
Tc  0.2493  0.5013  0.5117  2 U 2.43-2.66
Tc  0.5013  0.2493  0.0117  2 U 2.43-2.66
Tc  0.4987  0.7507  0.9883  2 U 2.43-2.66
Y  0.9720  0.7259  0.1499  6 Tc 3.13-3.27, 3 U 3.41-3.48
Y  0.2741  0.0280  0.3501  6 Tc 3.13-3.27, 3 U 3.41-3.48
Y  0.0280  0.2741  0.8501  6 Tc 3.13-3.27, 3 U 3.41-3.48
Y  0.7259  0.9720  0.6499  6 Tc 3.13-3.27, 3 U 3.41-3.48
U  0.6227  0.3773  0.2500  4 Tc 2.43-2.66
U  0.3773  0.6227  0.7500  4 Tc 2.43-2.66

Computed properties:
- Space group: No. 15


Record 2
The following is a DFT calculation (PBE) of a geometry-optimized BaHg2Os structure.

a = 10.6444 Å, b = 10.6444 Å, c = 10.6444 Å
α = 17.30°, β = 17.30°, γ = 17.30°
Closest atoms and distances in Å follow each position.
Element x y z (fractional)
Hg  0.5115  0.5115  0.5115  3 Os 2.92, 6 Hg 3.20
Hg  0.9885  0.9885  0.9885  3 Os 2.92, 6 Hg 3.20
Os  0.2500  0.2500  0.2500  6 Hg 2.92, 6 Os 3.20
Ba  0.7500  0.7500  0.7500  6 Ba 3.20, 6 Hg 3.51

Computed properties:
- Energy above the lowest structure with this stoichiometry: 445.2 meV/atom
- Space group: No. 166


So what do the calculations give for total magnetization? Going down the list: 0.000, 0.857 μB per formula unit.
So what do the calculations give for energy relative to the elements? Going down the list: -105, 319 kJ/mol of formula units.
So what do the calculations give for DOS(E_F)? Going down the list: 0.64, 0.63 states/eV per atom.